1.
The following is a DFT calculation (PBE) of a relaxed Sc2TcW crystal.

Unit cell a=6.5695 b=6.5695 c=6.5695 alpha=90.00 beta=90.00 gamma=90.00
Last column: nearest neighbours and their distance in Å.
Space group Fm-3m (No. 225)
Unique sites:
Sc: 0.2500 0.2500 0.2500  4 W 2.84, 4 Tc 2.84
Tc: 0.0000 0.0000 0.0000  8 Sc 2.84
W: 0.0000 0.0000 0.5000  8 Sc 2.84

E above lowest polymorph   414 meV/atom
Crystal system   cubic


2.
The following is a DFT calculation (PBE) of a relaxed ScTcW4 crystal.

Unit cell a=7.4866 b=7.4866 c=7.4866 alpha=90.00 beta=90.00 gamma=90.00
Last column: nearest neighbours and their distance in Å.
Space group F-43m (No. 216)
Unique sites:
Sc: 0.0000 0.0000 0.0000  12 W 3.10, 4 Tc 3.24
Tc: 0.2500 0.2500 0.7500  12 W 3.10, 4 Sc 3.24
W: 0.1251 0.1251 0.3749  6 W 2.64-2.65

Crystal system   cubic


| no. | calculated formation energy (meV/atom) |
| --- | --- |
| 1 | 316 |
| 2 | 237 |